<A>
Material: SnPIrS2
Method: DFT, PBE
State: optimized geometry

Results
The space group is P4/mmm.

Cell lengths 4.842, 4.842, 4.994 Å; angles 90.00, 90.00, 90.00 degrees
Fractional positions:
Sn (0.000, 0.000, 0.000)
P (0.000, 0.000, 0.500)
Ir (0.500, 0.500, 0.500)
S (0.000, 0.500, 0.000)
S (0.500, 0.000, 0.000)

=====

<B>
Material: SnPIrS2
Method: DFT, PBE
State: optimized geometry

Results
The space group is P4/mmm.

Cell lengths 4.968, 4.968, 4.362 Å; angles 90.00, 90.00, 90.00 degrees
Fractional positions:
Sn (0.000, 0.000, 0.000)
P (0.500, 0.500, 0.000)
Ir (0.500, 0.500, 0.500)
S (0.000, 0.500, 0.500)
S (0.500, 0.000, 0.500)

=====

Relative energies in eV/atom: <A> 1.238; <B> 0.000

=====

<A>
Material: TiP2IrS
Method: DFT, PBE
State: optimized geometry

Results
The space group is P4/mmm.

Cell lengths 4.637, 4.637, 4.474 Å; angles 90.00, 90.00, 90.00 degrees
Fractional positions:
Ti (0.000, 0.000, 0.000)
P (0.000, 0.500, 0.000)
P (0.500, 0.000, 0.000)
Ir (0.500, 0.500, 0.500)
S (0.000, 0.000, 0.500)

=====

<B>
Material: TiP2IrS
Method: DFT, PBE
State: optimized geometry

Results
The space group is P4/mmm.

Cell lengths 4.499, 4.499, 4.898 Å; angles 90.00, 90.00, 90.00 degrees
Fractional positions:
Ti (0.000, 0.000, 0.000)
P (0.000, 0.500, 0.500)
P (0.500, 0.000, 0.500)
Ir (0.500, 0.500, 0.500)
S (0.500, 0.500, 0.000)

=====

Relative energies in eV/atom: <A> 0.208; <B> 0.000

=====

<A>
Material: TlP2IrS
Method: DFT, PBE
State: optimized geometry

Results
The space group is P4/mmm.

Cell lengths 4.964, 4.964, 4.941 Å; angles 90.00, 90.00, 90.00 degrees
Fractional positions:
Tl (0.000, 0.000, 0.000)
P (0.000, 0.500, 0.000)
P (0.500, 0.000, 0.000)
Ir (0.500, 0.500, 0.500)
S (0.000, 0.000, 0.500)

=====

<B>
Material: TlP2IrS
Method: DFT, PBE
State: optimized geometry

Results
The space group is P4/mmm.

Cell lengths 4.527, 4.527, 5.420 Å; angles 90.00, 90.00, 90.00 degrees
Fractional positions:
Tl (0.000, 0.000, 0.000)
P (0.000, 0.500, 0.500)
P (0.500, 0.000, 0.500)
Ir (0.500, 0.500, 0.500)
S (0.500, 0.500, 0.000)

=====

Relative energies in eV/atom: <A> 1.678; <B> 0.000

=====

<A>
Material: ZrP2IrS
Method: DFT, PBE
State: optimized geometry

Results
The space group is P4/mmm.

Cell lengths 4.523, 4.523, 4.826 Å; angles 90.00, 90.00, 90.00 degrees
Fractional positions:
Zr (0.000, 0.000, 0.000)
P (0.000, 0.500, 0.500)
P (0.500, 0.000, 0.500)
Ir (0.500, 0.500, 0.500)
S (0.500, 0.500, 0.000)

=====

<B>
Material: ZrP2IrS
Method: DFT, PBE
State: optimized geometry

Results
The space group is P4/mmm.

Cell lengths 4.987, 4.987, 4.783 Å; angles 90.00, 90.00, 90.00 degrees
Fractional positions:
Zr (0.000, 0.000, 0.000)
P (0.000, 0.500, 0.000)
P (0.500, 0.000, 0.000)
Ir (0.500, 0.500, 0.500)
S (0.000, 0.000, 0.500)

=====

Relative energies in eV/atom: <A> 0.000; <B> 0.725

=====

<A>
Material: SbTe2PIr
Method: DFT, PBE
State: optimized geometry

Results
The space group is P4/mmm.

Cell lengths 5.386, 5.386, 4.413 Å; angles 90.00, 90.00, 90.00 degrees
Fractional positions:
Sb (0.000, 0.000, 0.000)
Te (0.000, 0.500, 0.500)
Te (0.500, 0.000, 0.500)
P (0.500, 0.500, 0.500)
Ir (0.500, 0.500, 0.000)

=====

<B>
Material: SbTe2PIr
Method: DFT, PBE
State: optimized geometry

Results
The space group is P4/mmm.

Cell lengths 5.088, 5.088, 4.936 Å; angles 90.00, 90.00, 90.00 degrees
Fractional positions:
Sb (0.000, 0.000, 0.000)
Te (0.000, 0.500, 0.500)
Te (0.500, 0.000, 0.500)
P (0.000, 0.000, 0.500)
Ir (0.500, 0.500, 0.000)

=====

<C>
Material: SbTe2PIr
Method: DFT, PBE
State: optimized geometry

Results
The space group is P4/mmm.

Cell lengths 5.241, 5.241, 5.094 Å; angles 90.00, 90.00, 90.00 degrees
Fractional positions:
Sb (0.000, 0.000, 0.000)
Te (0.000, 0.500, 0.500)
Te (0.500, 0.000, 0.500)
P (0.500, 0.500, 0.000)
Ir (0.000, 0.000, 0.500)

=====

Relative energies in eV/atom: <A> 0.000; <B> 0.565; <C> 0.208

=====

<A>
Material: ScPIr3
Method: DFT, PBE
State: optimized geometry

Results
The space group is Pm-3m.

Cell lengths 4.688, 4.688, 4.688 Å; angles 90.00, 90.00, 90.00 degrees
Fractional positions:
Sc (0.000, 0.000, 0.000)
P (0.500, 0.500, 0.500)
Ir (0.000, 0.000, 0.500)
Ir (0.000, 0.500, 0.000)
Ir (0.500, 0.000, 0.000)

=====

<B>
Material: ScPIr3
Method: DFT, PBE
State: optimized geometry

Results
The space group is Pm-3m.

Cell lengths 4.430, 4.430, 4.430 Å; angles 90.00, 90.00, 90.00 degrees
Fractional positions:
Sc (0.000, 0.000, 0.000)
P (0.500, 0.500, 0.500)
Ir (0.000, 0.500, 0.500)
Ir (0.500, 0.000, 0.500)
Ir (0.500, 0.500, 0.000)

=====

Relative energies in eV/atom: <A> 1.913; <B> 0.000

=====

<A>
Material: P2IrSe2
Method: DFT, PBE
State: optimized geometry

Results
The space group is P4/mbm.

Cell lengths 5.950, 5.950, 5.595 Å; angles 90.00, 90.00, 90.00 degrees
Fractional positions:
P (0.136, 0.364, 0.000)
P (0.364, 0.864, 0.000)
P (0.636, 0.136, 0.000)
P (0.864, 0.636, 0.000)
Ir (0.000, 0.000, 0.000)
Ir (0.500, 0.500, 0.000)
Se (0.138, 0.362, 0.500)
Se (0.362, 0.862, 0.500)
Se (0.638, 0.138, 0.500)
Se (0.862, 0.638, 0.500)

=====

<B>
Material: P2IrSe2
Method: DFT, PBE
State: optimized geometry

Results
The space group is I4/mmm.

Cell lengths 5.106, 5.106, 7.077 Å; angles 90.00, 90.00, 90.00 degrees
Fractional positions:
P (0.000, 0.000, 0.172)
P (0.000, 0.000, 0.828)
P (0.500, 0.500, 0.328)
P (0.500, 0.500, 0.672)
Ir (0.000, 0.000, 0.500)
Ir (0.500, 0.500, 0.000)
Se (0.000, 0.500, 0.250)
Se (0.000, 0.500, 0.750)
Se (0.500, 0.000, 0.250)
Se (0.500, 0.000, 0.750)

=====

Relative energies in eV/atom: <A> 0.000; <B> 0.587